[1]
The following is a GGA-PBE calculation of a relaxed structure of Sc2TiZn4, from Alexandria via LeMat-Bulk.

Cell and atoms, written as POSCAR:
```
Sc2TiZn4
1.0
4.4821 0.0000 -1.4288
-0.4554 4.4589 -1.4288
-0.3031 -0.3356 6.7939
Ti Sc Zn
1 2 4
Direct
0.0000 0.0000 0.0000
0.2620 0.2620 0.5240
0.7380 0.7380 0.4760
0.6080 0.1080 0.2160
0.1080 0.6080 0.2160
0.8920 0.3920 0.7840
0.3920 0.8920 0.7840
```

Results
Energy of formation ... -0.739 eV per formula unit
V ... 131 Å³ per cell
D(E_F) ... 0.746 states/eV per atom
Crystal system ... tetragonal

***

[2]
The following is a GGA-PBE calculation of a relaxed structure of ScTi3Zn, from Alexandria via LeMat-Bulk.

Cell and atoms, written as POSCAR:
```
ScTi3Zn
1.0
4.7518 0.0000 0.0000
0.0000 4.7518 0.0000
0.0000 0.0000 4.7518
Sc Ti Zn
1 3 1
Direct
0.5000 0.5000 0.5000
0.5000 0.0000 0.0000
0.0000 0.0000 0.5000
0.0000 0.5000 0.0000
0.0000 0.0000 0.0000
```

Results
Energy of formation ... 3.234 eV per formula unit
Excess energy over the best structure of this formula in the dataset ... 0 meV/atom
V ... 107 Å³ per cell
D(E_F) ... 1.663 states/eV per atom
Crystal system ... cubic

***

[3]
The following is a GGA-PBE calculation of a relaxed structure of Sc2TiZn, from Alexandria via LeMat-Bulk.

Cell and atoms, written as POSCAR:
```
Sc2TiZn
1.0
-2.2773 0.1159 -3.4591
-0.0712 -4.3570 -0.0991
-3.6405 0.0049 2.3969
Ti Sc Zn
1 2 1
Direct
0.5000 0.0000 0.0000
0.0000 0.0000 0.5000
0.0000 0.5000 0.0000
0.5000 0.5000 0.5000
```

Results
Energy of formation ... -0.205 eV per formula unit
V ... 79 Å³ per cell
D(E_F) ... 1.114 states/eV per atom
Crystal system ... tetragonal

***

[4]
The following is a GGA-PBE calculation of a relaxed structure of Sc2TiZn, from Alexandria via LeMat-Bulk.

Cell and atoms, written as POSCAR:
```
Sc2TiZn
1.0
-1.1757 -2.8777 -2.5954
3.1865 0.8255 -2.3588
6.4028 -7.7008 2.4785
Sc Ti Zn
4 2 2
Direct
0.3750 0.3688 0.7500
0.1188 0.6250 0.2500
0.6312 0.1250 0.2500
0.8750 0.8812 0.7500
0.5000 0.5000 0.0000
0.2500 0.7500 0.5000
0.0000 0.0000 0.0000
0.7500 0.2500 0.5000
```

Results
Energy of formation ... 1.337 eV per formula unit
V ... 163 Å³ per cell
D(E_F) ... 1.060 states/eV per atom
Crystal system ... tetragonal

***

[5]
The following is a GGA-PBE calculation of a relaxed structure of ScTiZn2, from Alexandria via LeMat-Bulk.

Cell and atoms, written as POSCAR:
```
ScTiZn2
1.0
3.2489 0.0000 0.0000
0.0000 3.2489 0.0000
0.0000 0.0000 6.4861
Zn Sc Ti
2 1 1
Direct
0.0000 0.0000 0.7690
0.0000 0.0000 0.2310
0.5000 0.5000 0.5000
0.5000 0.5000 0.0000
```

Results
Energy of formation ... -1.015 eV per formula unit
Excess energy over the best structure of this formula in the dataset ... 0 meV/atom
V ... 68 Å³ per cell
D(E_F) ... 1.006 states/eV per atom
Crystal system ... tetragonal

***

[6]
The following is a GGA-PBE calculation of a relaxed structure of ScTi3Zn, from Alexandria via LeMat-Bulk.

Cell and atoms, written as POSCAR:
```
ScTi3Zn
1.0
4.6639 0.0000 0.0000
0.0000 4.6639 0.0000
0.0000 0.0000 4.6639
Sc Ti Zn
1 3 1
Direct
0.0000 0.0000 0.0000
0.0000 0.5000 0.0000
0.0000 0.0000 0.5000
0.5000 0.0000 0.0000
0.5000 0.5000 0.5000
```

Results
Energy of formation ... 6.086 eV per formula unit
Excess energy over the best structure of this formula in the dataset ... 570 meV/atom
V ... 101 Å³ per cell
D(E_F) ... 2.178 states/eV per atom
Crystal system ... cubic

***

[7]
The following is a GGA-PBE calculation of a relaxed structure of Sc2TiZn3, from Alexandria via LeMat-Bulk.

Cell and atoms, written as POSCAR:
```
Sc2TiZn3
1.0
3.2874 0.0000 0.0000
0.0000 3.2874 0.0000
0.0000 0.0000 9.8146
Ti Sc Zn
1 2 3
Direct
0.5000 0.5000 0.5000
0.5000 0.5000 0.8258
0.5000 0.5000 0.1742
0.0000 0.0000 0.6500
0.0000 0.0000 0.0000
0.0000 0.0000 0.3500
```

Results
Energy of formation ... -1.737 eV per formula unit
V ... 106 Å³ per cell
D(E_F) ... 1.004 states/eV per atom
Crystal system ... tetragonal

***

[8]
The following is a GGA-PBE calculation of a relaxed structure of ScTi5Zn6, from Alexandria via LeMat-Bulk.

Cell and atoms, written as POSCAR:
```
ScTi5Zn6
1.0
4.3065 0.0199 -1.2534
-0.8741 5.5966 -2.9143
-0.0661 0.4077 7.7647
Ti Zn Sc
5 6 1
Direct
0.3337 0.8340 0.6679
0.6677 0.6673 0.3346
0.6663 0.1660 0.3321
0.3323 0.3327 0.6654
0.0000 0.5000 0.0000
0.5000 0.2590 0.0000
0.1698 0.4237 0.3385
0.1698 0.9148 0.3386
0.5000 0.7410 0.0000
0.8302 0.5763 0.6615
0.8302 0.0852 0.6614
0.0000 0.0000 0.0000
```

Results
Energy of formation ... -2.336 eV per formula unit
V ... 192 Å³ per cell
D(E_F) ... 0.965 states/eV per atom
Crystal system ... monoclinic

***

[9]
The following is a GGA-PBE calculation of a relaxed structure of ScTiZn4, from Alexandria via LeMat-Bulk.

Cell and atoms, written as POSCAR:
```
ScTiZn4
1.0
-1.3156 -3.9536 3.0319
-3.1228 -3.6892 -1.7865
1.8593 -4.7099 -0.9558
Zn Sc Ti
4 1 1
Direct
0.6254 0.6254 0.6254
0.1239 0.6254 0.6254
0.6254 0.6254 0.1239
0.6254 0.1239 0.6254
0.2500 0.2500 0.2500
0.0000 0.0000 0.0000
```

Results
Energy of formation ... -1.436 eV per formula unit
Excess energy over the best structure of this formula in the dataset ... 13 meV/atom
V ... 97 Å³ per cell
D(E_F) ... 0.894 states/eV per atom
Crystal system ... cubic

***

[10]
The following is a GGA-PBE calculation of a relaxed structure of ScTiZn, from Alexandria via LeMat-Bulk.

Cell and atoms, written as POSCAR:
```
ScTiZn
1.0
-0.7660 -1.3962 -2.5903
-0.3513 -2.6148 1.5133
-11.4351 2.6623 1.9453
Sc Ti Zn
2 2 2
Direct
0.8724 0.2911 0.4905
0.3726 0.7910 0.0218
0.3723 0.7912 0.6765
0.8724 0.2912 0.8358
0.8725 0.2910 0.1918
0.3724 0.7912 0.3205
```

Results
Energy of formation ... -0.258 eV per formula unit
Excess energy over the best structure of this formula in the dataset ... 0 meV/atom
V ... 110 Å³ per cell
D(E_F) ... 1.182 states/eV per atom
Crystal system ... tetragonal

***

[11]
The following is a GGA-PBE calculation of a relaxed structure of Sc2TiZn, from Alexandria via LeMat-Bulk.

Cell and atoms, written as POSCAR:
```
Sc2TiZn
1.0
3.1560 0.0000 0.0000
0.0000 3.1560 0.0000
0.0000 0.0000 7.9121
Sc Ti Zn
2 1 1
Direct
0.0000 0.0000 0.7612
0.0000 0.0000 0.2388
0.5000 0.5000 0.5000
0.5000 0.5000 0.0000
```

Results
Energy of formation ... -0.517 eV per formula unit
V ... 79 Å³ per cell
D(E_F) ... 1.181 states/eV per atom
Crystal system ... tetragonal

***

[12]
The following is a GGA-PBE calculation of a relaxed structure of Sc2TiZn, from Alexandria via LeMat-Bulk.

Cell and atoms, written as POSCAR:
```
Sc2TiZn
1.0
-1.9308 2.3486 0.8195
-2.9752 0.0249 -1.0312
-4.3237 -4.0841 7.5676
Ti Zn Sc
1 1 2
Direct
0.5000 0.5000 0.5000
0.0000 0.0000 0.0000
0.7481 0.7481 0.7558
0.2519 0.2519 0.2442
```

Results
Energy of formation ... 0.010 eV per formula unit
V ... 81 Å³ per cell
D(E_F) ... 1.602 states/eV per atom
Crystal system ... trigonal

***

> Which of these has the lowest D(E_F)?

Sc2TiZn4

***

> Number 4 is which compound?

Sc2TiZn

***

Please write out number 9 again, unchanged.
The following is a GGA-PBE calculation of a relaxed structure of ScTiZn4, from Alexandria via LeMat-Bulk.

Cell and atoms, written as POSCAR:
```
ScTiZn4
1.0
-1.3156 -3.9536 3.0319
-3.1228 -3.6892 -1.7865
1.8593 -4.7099 -0.9558
Zn Sc Ti
4 1 1
Direct
0.6254 0.6254 0.6254
0.1239 0.6254 0.6254
0.6254 0.6254 0.1239
0.6254 0.1239 0.6254
0.2500 0.2500 0.2500
0.0000 0.0000 0.0000
```

Results
Energy of formation ... -1.436 eV per formula unit
Excess energy over the best structure of this formula in the dataset ... 13 meV/atom
V ... 97 Å³ per cell
D(E_F) ... 0.894 states/eV per atom
Crystal system ... cubic

***

What did the twelfth record say?
The following is a GGA-PBE calculation of a relaxed structure of Sc2TiZn, from Alexandria via LeMat-Bulk.

Cell and atoms, written as POSCAR:
```
Sc2TiZn
1.0
-1.9308 2.3486 0.8195
-2.9752 0.0249 -1.0312
-4.3237 -4.0841 7.5676
Ti Zn Sc
1 1 2
Direct
0.5000 0.5000 0.5000
0.0000 0.0000 0.0000
0.7481 0.7481 0.7558
0.2519 0.2519 0.2442
```

Results
Energy of formation ... 0.010 eV per formula unit
V ... 81 Å³ per cell
D(E_F) ... 1.602 states/eV per atom
Crystal system ... trigonal